[1]
8
Lattice="-3.739 3.739 2.691 3.739 -3.739 2.691 3.739 3.739 -2.691" Properties=species:S:1:pos:R:3 comment="TiNbAu2 (PBE, relaxed)" delta_e_f_ev_per_atom=0.1866 magmom_total_mub_per_cell=0.0 de_polymorph_mev_per_atom=415 pbc="T T T"
Ti 0.000 0.000 0.000
Ti 0.000 3.739 1.345
Nb 3.739 0.000 1.345
Nb 0.000 0.000 2.691
Au 5.609 1.786 -0.673
Au 1.786 1.870 0.673
Au -1.870 1.954 2.018
Au 1.954 1.870 3.363

=====

[2]
5
Lattice="4.731 0.000 0.000 0.000 4.731 0.000 0.000 0.000 4.731" Properties=species:S:1:pos:R:3 comment="Ti3NbAu (PBE, relaxed)" delta_e_f_ev_per_atom=0.9074 magmom_total_mub_per_cell=1.8 de_polymorph_mev_per_atom=0 pbc="T T T"
Ti 0.000 0.000 2.365
Ti 0.000 2.365 0.000
Ti 2.365 0.000 0.000
Nb 0.000 0.000 0.000
Au 2.365 2.365 2.365

=====

[3]
10
Lattice="7.200 0.000 0.000 0.000 7.200 0.000 0.000 0.000 3.546" Properties=species:S:1:pos:R:3 comment="Ti2Nb2Au (PBE, relaxed)" delta_e_f_ev_per_atom=0.1676 magmom_total_mub_per_cell=0.0 de_polymorph_mev_per_atom=282 pbc="T T T"
Ti 1.220 2.380 0.000
Ti 2.380 5.980 0.000
Ti 4.820 1.220 0.000
Ti 5.980 4.820 0.000
Nb 0.936 4.536 1.773
Nb 2.664 0.936 1.773
Nb 4.536 6.265 1.773
Nb 6.265 2.664 1.773
Au 0.000 0.000 1.773
Au 3.600 3.600 1.773